#a
A relaxed structure of Na2InP. Source: Alexandria, functional PBE.

Unit cell a=4.3129 b=4.3129 c=10.8236 alpha=78.51 beta=78.51 gamma=90.00
Fractional positions:
P: 0.2500 0.7500 0.5000
P: 0.5000 0.5000 0.0000
Na: 0.8750 0.8452 0.7500
Na: 0.1548 0.6250 0.2500
Na: 0.3750 0.4048 0.7500
Na: 0.5952 0.1250 0.2500
In: 0.7500 0.2500 0.5000
In: 0.0000 0.0000 0.0000

M_tot   0.00 μB/atom

***

#b
A relaxed structure of Na2InP. Source: Alexandria, functional PBE.

Unit cell a=5.0582 b=5.0582 c=5.0582 alpha=60.00 beta=60.00 gamma=60.00
Fractional positions:
In: 0.5000 0.5000 0.5000
Na: 0.2500 0.2500 0.2500
Na: 0.7500 0.7500 0.7500
P: 0.0000 0.0000 0.0000

M_tot   0.00 μB/atom

***

Last place for stability: #a

***

#a
A relaxed structure of NaInPS2. Source: Alexandria, functional PBE.

Unit cell a=5.1689 b=5.1689 c=5.0915 alpha=90.00 beta=90.00 gamma=90.00
Fractional positions:
S: 0.5000 0.0000 0.0000
S: 0.0000 0.5000 0.0000
In: 0.0000 0.0000 0.0000
P: 0.0000 0.0000 0.5000
Na: 0.5000 0.5000 0.5000

M_tot   0.31 μB/atom

***

#b
A relaxed structure of NaInPS2. Source: Alexandria, functional PBE.

Unit cell a=5.0374 b=5.0374 c=5.1237 alpha=90.00 beta=90.00 gamma=90.00
Fractional positions:
In: 0.5000 0.5000 0.5000
Na: 0.0000 0.0000 0.0000
S: 0.0000 0.5000 0.0000
S: 0.5000 0.0000 0.0000
P: 0.0000 0.0000 0.5000

M_tot   0.62 μB/atom

***

Last place for stability: #b